The following is a DFT calculation (GGA-PBE) of a geometry-optimized AuS2NO structure.

abc: 4.2992 4.2992 3.8411
angles: 90.00 90.00 90.00
Closest atoms and distances in Å follow each position.
Fractional coordinates of all 5 atoms:
1 S 0.0000 0.5000 0.0000  2 O 2.15
2 S 0.5000 0.0000 0.0000  2 O 2.15
3 Au 0.5000 0.5000 0.5000  8 S 2.88, 4 N 3.04
4 O 0.0000 0.0000 0.0000  2 N 1.92, 4 S 2.15
5 N 0.0000 0.0000 0.5000  2 O 1.92

symmetry	P4/mmm (123)
ΔE_f (raw)	1623	meV per atom


The following is a DFT calculation (GGA-PBE) of a geometry-optimized ZrPbBr structure.

abc: 4.9739 4.9739 4.9739
angles: 60.00 60.00 60.00
Closest atoms and distances in Å follow each position.
Fractional coordinates of all 3 atoms:
1 Pb 0.5000 0.5000 0.5000  4 Zr 3.05
2 Br 0.0000 0.0000 0.0000  4 Zr 3.05
3 Zr 0.7500 0.7500 0.7500  4 Pb 3.05, 4 Br 3.05

symmetry	F-43m (216)
ΔE_f (raw)	123	meV per atom


The following is a DFT calculation (GGA-PBE) of a geometry-optimized ZrPRh2 structure.

abc: 3.0776 3.0776 6.6533
angles: 90.00 90.00 90.00
Closest atoms and distances in Å follow each position.
Fractional coordinates of all 4 atoms:
1 Zr 0.0000 0.0000 0.4999  5 Rh 2.76-3.01, 4 P 2.97, 4 Zr 3.08
2 P 0.5000 0.5000 0.8032  4 Rh 2.39
3 Rh 0.0000 0.0000 0.9520  4 P 2.39
4 Rh 0.5000 0.5000 0.2449  4 Zr 2.76, 8 Rh 2.92-3.08, 1 P 2.94

symmetry	P4mm (99)
formation enthalpy at 0 K	-0.542	eV/atom